--- one ---
Here is a crystal of Ca5Au relaxed with PBEsol from the Alexandria database. Energies are from SCAN.

Cell lengths 12.9400, 3.7546, 9.1801 Å; angles 90.00, 112.96, 90.00 degrees
Space group C2/m (No. 12)
Symmetry-distinct sites (fractional):
Ca  0.0000  0.0000  0.0000 x2
Ca  0.1240  0.5000  0.3752 x4
Ca  0.1707  0.5000  0.7839 x4
Au  0.0000  0.0000  0.5000 x2

---

--- two ---
Here is a crystal of Ca5Au relaxed with PBEsol from the Alexandria database. Energies are from SCAN.

Cell lengths 9.5205, 9.5205, 9.5205 Å; angles 90.00, 90.00, 90.00 degrees
Space group F-43m (No. 216)
Symmetry-distinct sites (fractional):
Ca  0.0000  0.0000  0.0000 x4
Ca  0.1246  0.1246  0.3754 x16
Au  0.2500  0.2500  0.7500 x4

---

Pick one: it beats the second-best structure by 611 meV per atom.

---

--- one ---
Here is a crystal of Ca2AuCl relaxed with PBEsol from the Alexandria database. Energies are from SCAN.

Cell lengths 3.5100, 3.5100, 7.7084 Å; angles 90.00, 90.00, 90.00 degrees
Space group P4/mmm (No. 123)
Symmetry-distinct sites (fractional):
Ca  0.0000  0.0000  0.2265 x2
Au  0.5000  0.5000  0.0000 x1
Cl  0.5000  0.5000  0.5000 x1

---

--- two ---
Here is a crystal of Ca2AuCl relaxed with PBEsol from the Alexandria database. Energies are from SCAN.

Cell lengths 7.2881, 7.2881, 7.2881 Å; angles 90.00, 90.00, 90.00 degrees
Space group Fm-3m (No. 225)
Symmetry-distinct sites (fractional):
Ca  0.2500  0.2500  0.2500 x8
Au  0.0000  0.0000  0.0000 x4
Cl  0.0000  0.0000  0.5000 x4

---

Pick one: it beats the second-best structure by 206 meV per atom.

---

--- one ---
Here is a crystal of CaIr2Au relaxed with PBEsol from the Alexandria database. Energies are from SCAN.

Cell lengths 2.9735, 4.6916, 9.4234 Å; angles 90.00, 90.00, 90.00 degrees
Space group Cmmm (No. 65)
Symmetry-distinct sites (fractional):
Ca  0.0000  0.0000  0.0000 x2
Ir  0.0000  0.5000  0.2504 x4
Au  0.0000  0.0000  0.5000 x2

---

--- two ---
Here is a crystal of CaIr2Au relaxed with PBEsol from the Alexandria database. Energies are from SCAN.

Cell lengths 2.8960, 4.7308, 9.8789 Å; angles 90.00, 90.00, 90.00 degrees
Space group Immm (No. 71)
Symmetry-distinct sites (fractional):
Ca  0.0000  0.0000  0.0000 x2
Ir  0.0000  0.5000  0.2328 x4
Au  0.0000  0.0000  0.5000 x2

---

Pick two: it beats the second-best structure by 319 meV per atom.

---

--- one ---
Here is a crystal of Li2CaAu relaxed with PBEsol from the Alexandria database. Energies are from SCAN.

Cell lengths 4.4376, 4.4376, 14.1652 Å; angles 90.00, 90.00, 120.00 degrees
Space group R-3m (No. 166, hexagonal axes)
Symmetry-distinct sites (fractional):
Li  0.0000  0.0000  0.2149 x6
Ca  0.0000  0.0000  0.0000 x3
Au  0.0000  0.0000  0.5000 x3

---

--- two ---
Here is a crystal of Li2CaAu relaxed with PBEsol from the Alexandria database. Energies are from SCAN.

Cell lengths 4.4832, 4.4832, 14.7366 Å; angles 90.00, 90.00, 120.00 degrees
Space group R3m (No. 160, hexagonal axes)
Symmetry-distinct sites (fractional):
Li  0.0000  0.0000  0.0000 x3
Li  0.0000  0.0000  0.2767 x3
Ca  0.0000  0.0000  0.7964 x3
Au  0.0000  0.0000  0.5876 x3

---

Pick two: it beats the second-best structure by 67 meV per atom.

---

--- one ---
Here is a crystal of Li2CaAu relaxed with PBEsol from the Alexandria database. Energies are from SCAN.

Cell lengths 4.1993, 4.1993, 8.9090 Å; angles 90.00, 90.00, 90.00 degrees
Space group I4/mmm (No. 139)
Symmetry-distinct sites (fractional):
Li  0.0000  0.5000  0.2500 x4
Ca  0.0000  0.0000  0.0000 x2
Au  0.0000  0.0000  0.5000 x2

---

--- two ---
Here is a crystal of Li2CaAu relaxed with PBEsol from the Alexandria database. Energies are from SCAN.

Cell lengths 3.6082, 4.7632, 9.7385 Å; angles 90.00, 90.00, 90.00 degrees
Space group Immm (No. 71)
Symmetry-distinct sites (fractional):
Li  0.0000  0.0000  0.2131 x4
Ca  0.0000  0.5000  0.0000 x2
Au  0.0000  0.5000  0.5000 x2

---

--- three ---
Here is a crystal of Li2CaAu relaxed with PBEsol from the Alexandria database. Energies are from SCAN.

Cell lengths 4.7383, 4.9560, 6.9688 Å; angles 90.00, 90.00, 90.00 degrees
Space group Imm2 (No. 44)
Symmetry-distinct sites (fractional):
Li  0.0000  0.0000  0.0000 x2
Li  0.0000  0.5000  0.2561 x2
Ca  0.0000  0.0000  0.4910 x2
Au  0.0000  0.5000  0.7294 x2

---

--- four ---
Here is a crystal of Li2CaAu relaxed with PBEsol from the Alexandria database. Energies are from SCAN.

Cell lengths 3.5490, 3.5490, 6.7887 Å; angles 90.00, 90.00, 90.00 degrees
Space group P4mm (No. 99)
Symmetry-distinct sites (fractional):
Li  0.0000  0.0000  0.0000 x1
Li  0.5000  0.5000  0.2065 x1
Ca  0.0000  0.0000  0.5650 x1
Au  0.5000  0.5000  0.8154 x1

---

Pick two: it beats the second-best structure by 13 meV per atom.

---

--- one ---
Here is a crystal of NaCa3Au relaxed with PBEsol from the Alexandria database. Energies are from SCAN.

Cell lengths 5.7209, 5.7209, 5.7209 Å; angles 90.00, 90.00, 90.00 degrees
Space group Pm-3m (No. 221)
Symmetry-distinct sites (fractional):
Na  0.0000  0.0000  0.0000 x1
Ca  0.0000  0.5000  0.5000 x3
Au  0.5000  0.5000  0.5000 x1

---

--- two ---
Here is a crystal of NaCa3Au relaxed with PBEsol from the Alexandria database. Energies are from SCAN.

Cell lengths 5.7232, 5.7232, 5.7232 Å; angles 90.00, 90.00, 90.00 degrees
Space group Pm-3m (No. 221)
Symmetry-distinct sites (fractional):
Na  0.0000  0.0000  0.0000 x1
Ca  0.0000  0.0000  0.5000 x3
Au  0.5000  0.5000  0.5000 x1

---

Pick one: it beats the second-best structure by 1015 meV per atom.

---

--- one ---
Here is a crystal of CaOsAu2 relaxed with PBEsol from the Alexandria database. Energies are from SCAN.

Cell lengths 4.0330, 4.0330, 8.7199 Å; angles 90.00, 90.00, 90.00 degrees
Space group I-4m2 (No. 119)
Symmetry-distinct sites (fractional):
Ca  0.0000  0.0000  0.0000 x2
Os  0.0000  0.5000  0.2500 x2
Au  0.0000  0.0000  0.5000 x2
Au  0.0000  0.5000  0.7500 x2

---

--- two ---
Here is a crystal of CaOsAu2 relaxed with PBEsol from the Alexandria database. Energies are from SCAN.

Cell lengths 2.9183, 2.9183, 28.5440 Å; angles 90.00, 90.00, 120.00 degrees
Space group R3m (No. 160, hexagonal axes)
Symmetry-distinct sites (fractional):
Ca  0.0000  0.0000  0.0000 x3
Os  0.0000  0.0000  0.2497 x3
Au  0.0000  0.0000  0.5048 x3
Au  0.0000  0.0000  0.7545 x3

---

Pick one: it beats the second-best structure by 229 meV per atom.

---

--- one ---
Here is a crystal of CaPd2Au2 relaxed with PBEsol from the Alexandria database. Energies are from SCAN.

Cell lengths 7.4949, 7.4949, 3.2100 Å; angles 90.00, 90.00, 90.00 degrees
Space group P4/mbm (No. 127)
Symmetry-distinct sites (fractional):
Ca  0.0000  0.0000  0.0000 x2
Pd  0.1289  0.3711  0.0000 x4
Au  0.1674  0.6674  0.5000 x4

---

--- two ---
Here is a crystal of CaPd2Au2 relaxed with PBEsol from the Alexandria database. Energies are from SCAN.

Cell lengths 3.8848, 3.8848, 12.7402 Å; angles 90.00, 90.00, 90.00 degrees
Space group I4/mmm (No. 139)
Symmetry-distinct sites (fractional):
Ca  0.0000  0.0000  0.0000 x2
Pd  0.0000  0.5000  0.2500 x4
Au  0.0000  0.0000  0.3975 x4

---

Pick two: it beats the second-best structure by 15 meV per atom.